A plane-wave DFT calculation with PBE was carried out for CuTcOs3 after structural relaxation.

Computed properties:
- ΔH_f (0 K): 2094 meV/atom
- Excess energy over the best structure of this formula in the dataset: 0.00 eV/f.u.
- Crystal system: cubic
- Magnetic moment: 0.000 μB/atom

The structure in CIF format:
```
data_CuTcOs3
_cell_length_a 4.360
_cell_length_b 4.360
_cell_length_c 4.360
_cell_angle_alpha 90.00
_cell_angle_beta 90.00
_cell_angle_gamma 90.00
_symmetry_space_group_name_H-M 'P m -3 m'
_symmetry_Int_Tables_number 221
_symmetry_space_group_name_Hall '-P 4 2 3'
loop_
_atom_site_label
_atom_site_type_symbol
_atom_site_fract_x
_atom_site_fract_y
_atom_site_fract_z
Cu1 Cu 0.000 0.000 0.000
Tc1 Tc 0.500 0.500 0.500
Os1 Os 0.000 0.000 0.500
```